# PmCl (PBE, optimized geometry)
data_PmCl
_chemical_formula_sum 'Pm1 Cl1'
_cell_length_a 3.5700
_cell_length_b 3.5700
_cell_length_c 4.4019
_cell_angle_alpha 90.00
_cell_angle_beta 90.00
_cell_angle_gamma 120.00
_symmetry_space_group_name_H-M 'P 1'
_symmetry_Int_Tables_number 1
_symmetry_space_group_name_Hall 'P 1'
loop_
_atom_site_label
_atom_site_fract_x
_atom_site_fract_y
_atom_site_fract_z
Pm1 0.0000 0.0000 0.0000
Cl1 0.3333 0.6667 0.5000
# **SG**: P-6m2 (187)
# **E above lowest polymorph**: 0.0000 eV per atom
# **Volume**: 24.3 A^3/atom